Arrangement 1

Computed, not measured: a geometry-optimized TiNbZn4 structure at the PBE level of DFT.

CIF file:
```
data_TiNbZn4
_chemical_formula_sum 'Ti4 Nb4 Zn16'
_cell_length_a 7.133
_cell_length_b 7.133
_cell_length_c 7.133
_cell_angle_alpha 90.00
_cell_angle_beta 90.00
_cell_angle_gamma 90.00
_space_group_name_H-M_alt 'F -4 3 m'
_space_group_IT_number 216
_space_group_name_Hall 'F -4 2 3'
loop_
_atom_site_label
_atom_site_fract_x
_atom_site_fract_y
_atom_site_fract_z
Ti1 0.000 0.000 0.000
Nb1 0.250 0.250 0.750
Zn1 0.125 0.125 0.375
```



Arrangement 2

Computed, not measured: a geometry-optimized TiNbZn4 structure at the PBE level of DFT.

CIF file:
```
data_TiNbZn4
_chemical_formula_sum 'Ti1 Nb1 Zn4'
_cell_length_a 2.951
_cell_length_b 4.271
_cell_length_c 7.397
_cell_angle_alpha 90.00
_cell_angle_beta 90.00
_cell_angle_gamma 90.00
_space_group_name_H-M_alt 'P m m m'
_space_group_IT_number 47
loop_
_space_group_symop_operation_xyz
'x,y,z'
'-x,-y,-z'
'-x,-y,z'
'x,y,-z'
'x,-y,-z'
'-x,y,z'
'-x,y,-z'
'x,-y,z'
loop_
_atom_site_label
_atom_site_fract_x
_atom_site_fract_y
_atom_site_fract_z
Ti1 0.000 0.000 0.000
Nb1 0.000 0.500 0.500
Zn1 0.500 0.000 0.332
Zn2 0.500 0.500 0.165
```



Most stable structure, least stable structure: arrangement 1, arrangement 2.



Arrangement 1

Computed, not measured: a geometry-optimized Ti3NbZn structure at the PBE level of DFT.

CIF file:
```
data_Ti3NbZn
_chemical_formula_sum 'Ti3 Nb1 Zn1'
_cell_length_a 4.777
_cell_length_b 4.777
_cell_length_c 4.777
_cell_angle_alpha 90.00
_cell_angle_beta 90.00
_cell_angle_gamma 90.00
_space_group_name_H-M_alt 'P m -3 m'
_space_group_IT_number 221
_space_group_name_Hall '-P 4 2 3'
loop_
_atom_site_label
_atom_site_fract_x
_atom_site_fract_y
_atom_site_fract_z
Ti1 0.000 0.000 0.500
Nb1 0.000 0.000 0.000
Zn1 0.500 0.500 0.500
```



Arrangement 2

Computed, not measured: a geometry-optimized Ti3NbZn structure at the PBE level of DFT.

CIF file:
```
data_Ti3NbZn
_chemical_formula_sum 'Ti3 Nb1 Zn1'
_cell_length_a 4.629
_cell_length_b 4.629
_cell_length_c 4.629
_cell_angle_alpha 90.00
_cell_angle_beta 90.00
_cell_angle_gamma 90.00
_space_group_name_H-M_alt 'P m -3 m'
_space_group_IT_number 221
_space_group_name_Hall '-P 4 2 3'
loop_
_atom_site_label
_atom_site_fract_x
_atom_site_fract_y
_atom_site_fract_z
Ti1 0.000 0.000 0.500
Nb1 0.500 0.500 0.500
Zn1 0.000 0.000 0.000
```



Most stable structure, least stable structure: arrangement 2, arrangement 1.